Record 1
{"formula": "LiGaRu3", "functional": "GGA-PBE", "state": "relaxed", "rho_g_cm3": 8.84, "crystal_system": "cubic", "polymorph_energy_ev_per_fu": 0.00, "lattice_angstrom": [[4.1475, 0.0000, 0.0000], [0.0000, 4.1475, 0.0000], [0.0000, 0.0000, 4.1475]], "species": ["Li", "Ga", "Ru", "Ru", "Ru"], "frac_coords": [[0.0000, 0.0000, 0.0000], [0.5000, 0.5000, 0.5000], [0.0000, 0.0000, 0.5000], [0.0000, 0.5000, 0.0000], [0.5000, 0.0000, 0.0000]]}

***

Record 2
{"formula": "LiGa3Ru2", "functional": "GGA-PBE", "state": "relaxed", "rho_g_cm3": 8.22, "total_energy_ev_per_atom": -5.29, "crystal_system": "orthorhombic", "lattice_angstrom": [[2.1225, -6.5546, 0.0000], [2.1225, 6.5546, 0.0000], [0.0000, 0.0000, 3.0373]], "species": ["Li", "Ga", "Ga", "Ga", "Ru", "Ru"], "frac_coords": [[0.0000, 0.0000, 0.0000], [0.1764, 0.8236, 0.5000], [0.5000, 0.5000, 0.5000], [0.8236, 0.1764, 0.5000], [0.3441, 0.6559, 0.0000], [0.6559, 0.3441, 0.0000]]}

***

Record 3
{"formula": "LiGa6Ru", "functional": "GGA-PBE", "state": "relaxed", "rho_g_cm3": 5.74, "total_energy_ev_per_atom": -3.76, "crystal_system": "trigonal", "lattice_angstrom": [[4.3253, 2.4972, 2.3505], [-4.3253, 2.4972, 2.3505], [0.0000, -4.9944, 2.3505]], "species": ["Li", "Ga", "Ga", "Ga", "Ga", "Ga", "Ga", "Ru"], "frac_coords": [[0.0000, 0.0000, 0.0000], [0.2029, 0.2029, 0.6394], [0.2029, 0.6394, 0.2029], [0.3606, 0.7971, 0.7971], [0.6394, 0.2029, 0.2029], [0.7971, 0.3606, 0.7971], [0.7971, 0.7971, 0.3606], [0.5000, 0.5000, 0.5000]]}

***

Record 4
{"formula": "LiGa2Ru2", "functional": "GGA-PBE", "state": "relaxed", "rho_g_cm3": 7.61, "crystal_system": "tetragonal", "polymorph_energy_ev_per_fu": 0.31, "lattice_angstrom": [[7.0616, 0.0000, 0.0000], [0.0000, 7.0616, 0.0000], [0.0000, 0.0000, 3.0490]], "species": ["Li", "Li", "Ga", "Ga", "Ga", "Ga", "Ru", "Ru", "Ru", "Ru"], "frac_coords": [[0.0000, 0.0000, 0.0000], [0.5000, 0.5000, 0.0000], [0.1604, 0.3396, 0.5000], [0.3396, 0.8396, 0.5000], [0.6604, 0.1604, 0.5000], [0.8396, 0.6604, 0.5000], [0.1375, 0.6375, 0.0000], [0.3625, 0.1375, 0.0000], [0.6375, 0.8625, 0.0000], [0.8625, 0.3625, 0.0000]]}

***

The Fermi-level density of states results, record by record, are as follows: 5.86, 2.28, 3.34, 10.32 states/eV per cell.